Entry 1:
This record from Alexandria via LeMat-Bulk describes crystalline Cs2SiGeBr6 at its relaxed geometry. The functional is PBE.

Values from the calculation:
Symmetry: I4/mmm

a = 7.846 Å, b = 7.846 Å, c = 7.843 Å
α = 59.99°, β = 59.99°, γ = 90.00°
Positions (direct):
Br1 0.254 0.254 0.493
Br2 0.746 0.746 0.507
Br3 0.254 0.254 0.000
Br4 0.746 0.746 0.000
Br5 0.746 0.254 0.000
Br6 0.254 0.746 0.000
Si1 0.500 0.500 0.000
Cs1 0.250 0.750 0.500
Cs2 0.750 0.250 0.500
Ge1 0.000 0.000 0.000

***

Entry 2:
This record from Alexandria via LeMat-Bulk describes crystalline CsSmGe2Br8 at its relaxed geometry. The functional is PBE.

Values from the calculation:
Symmetry: P-1

a = 7.391 Å, b = 6.728 Å, c = 10.381 Å
α = 91.53°, β = 85.74°, γ = 83.72°
Positions (direct):
Br1 0.395 0.255 0.602
Br2 0.858 0.275 0.211
Br3 0.316 0.228 0.977
Br4 0.142 0.725 0.789
Br5 0.684 0.772 0.023
Br6 0.822 0.231 0.812
Br7 0.178 0.769 0.188
Br8 0.605 0.745 0.398
Ge1 0.449 0.444 0.797
Ge2 0.551 0.556 0.203
Sm1 0.000 0.000 0.000
Cs1 0.000 0.000 0.500

***

Entry 3:
This record from Alexandria via LeMat-Bulk describes crystalline CsSmGeBr6 at its relaxed geometry. The functional is PBE.

Values from the calculation:
Symmetry: P312

a = 7.456 Å, b = 7.457 Å, c = 8.052 Å
α = 90.00°, β = 90.00°, γ = 60.00°
Positions (direct):
Sm1 0.333 0.333 0.500
Ge1 0.667 0.667 0.500
Br1 0.381 0.996 0.705
Br2 0.382 0.622 0.295
Br3 0.996 0.622 0.705
Br4 0.996 0.382 0.295
Br5 0.622 0.996 0.295
Br6 0.622 0.382 0.705
Cs1 0.000 0.000 0.000

***

Entry 4:
This record from Alexandria via LeMat-Bulk describes crystalline Cs2SnGeBr6 at its relaxed geometry. The functional is PBE.

Values from the calculation:
Symmetry: Fm-3m

a = 8.122 Å, b = 8.122 Å, c = 8.120 Å
α = 60.00°, β = 60.00°, γ = 90.00°
Positions (direct):
Ge1 0.500 0.500 0.000
Br1 0.256 0.744 0.000
Br2 0.744 0.256 0.000
Br3 0.256 0.256 0.488
Br4 0.744 0.744 0.000
Br5 0.256 0.256 0.000
Br6 0.744 0.744 0.512
Cs1 0.250 0.750 0.500
Cs2 0.750 0.250 0.500
Sn1 0.000 0.000 0.000

***

Entry 5:
This record from Alexandria via LeMat-Bulk describes crystalline Cs3SnGe2Br9 at its relaxed geometry. The functional is PBE.

Values from the calculation:
Symmetry: P-3m1

a = 8.052 Å, b = 8.052 Å, c = 9.870 Å
α = 90.00°, β = 90.00°, γ = 120.00°
Positions (direct):
Sn1 0.000 0.000 0.500
Br1 0.829 0.657 0.673
Br2 0.171 0.343 0.327
Br3 0.829 0.171 0.673
Br4 0.500 0.500 0.000
Br5 0.500 0.000 0.000
Br6 0.171 0.829 0.327
Br7 0.657 0.829 0.327
Br8 0.343 0.171 0.673
Br9 0.000 0.500 0.000
Cs1 0.333 0.667 0.671
Cs2 0.667 0.333 0.329
Cs3 0.000 0.000 0.000
Ge1 0.667 0.333 0.840
Ge2 0.333 0.667 0.160

***

Entry 6:
This record from Alexandria via LeMat-Bulk describes crystalline Cs2SrGeBr6 at its relaxed geometry. The functional is PBE.

Values from the calculation:
Symmetry: Fm-3m

a = 8.243 Å, b = 8.243 Å, c = 8.243 Å
α = 60.00°, β = 60.00°, γ = 90.00°
Positions (direct):
Br1 0.259 0.741 0.000
Br2 0.259 0.259 0.000
Br3 0.741 0.741 0.000
Br4 0.741 0.741 0.517
Br5 0.741 0.259 0.000
Br6 0.259 0.259 0.483
Sr1 0.000 0.000 0.000
Ge1 0.500 0.500 0.000
Cs1 0.750 0.250 0.500
Cs2 0.250 0.750 0.500

***

Entry 7:
This record from Alexandria via LeMat-Bulk describes crystalline Cs2SrGeBr6 at its relaxed geometry. The functional is PBE.

Values from the calculation:
Symmetry: P4/mmm

a = 5.845 Å, b = 5.845 Å, c = 11.644 Å
α = 90.00°, β = 90.00°, γ = 90.00°
Positions (direct):
Br1 0.500 0.000 0.000
Br2 0.500 0.000 0.500
Br3 0.000 0.500 0.500
Br4 0.500 0.500 0.263
Br5 0.000 0.500 0.000
Br6 0.500 0.500 0.737
Cs1 0.000 0.000 0.265
Cs2 0.000 0.000 0.735
Ge1 0.500 0.500 0.500
Sr1 0.500 0.500 0.000

***

Entry 8:
This record from Alexandria via LeMat-Bulk describes crystalline Cs2TiGeBr6 at its relaxed geometry. The functional is PBE.

Values from the calculation:
Symmetry: Fm-3m

a = 7.823 Å, b = 7.823 Å, c = 7.822 Å
α = 60.00°, β = 60.00°, γ = 90.00°
Positions (direct):
Cs1 0.250 0.750 0.500
Cs2 0.750 0.250 0.500
Br1 0.256 0.256 0.000
Br2 0.744 0.744 0.000
Br3 0.744 0.744 0.512
Br4 0.256 0.256 0.488
Br5 0.256 0.744 0.000
Br6 0.744 0.256 0.000
Ge1 0.000 0.000 0.000
Ti1 0.500 0.500 0.000

***

no.,DFT total energy (eV/cell),formation energy (no corrections) (eV per formula unit)
1,-32.01,-10.23
2,-42.36,-14.17
3,-33.32,-13.09
4,-31.99,-11.62
5,-47.97,-17.12
6,-33.38,-15.33
7,-33.35,-15.31
8,-36.06,-11.80